No. 1
The following is a GGA-PBE calculation of an optimized crystal structure of TiPtNF2, from Alexandria via LeMat-Bulk.

Properties
total magnetization: 2.28 μB per cell
E: -26.55 eV for the cell shown

Cell lengths 4.6151, 4.6151, 3.6763 Å; angles 90.00, 90.00, 90.00 degrees
Atoms (fractional coordinates):
Ti: 0.0000 0.0000 0.0000
Pt: 0.5000 0.5000 0.5000
N: 0.5000 0.5000 0.0000
F: 0.0000 0.5000 0.5000
F: 0.5000 0.0000 0.5000

=====

No. 2
The following is a GGA-PBE calculation of an optimized crystal structure of TiPtNF2, from Alexandria via LeMat-Bulk.

Properties
total magnetization: 0.00 μB per cell
E: -30.75 eV for the cell shown

Cell lengths 3.8454, 3.8454, 4.1617 Å; angles 90.00, 90.00, 90.00 degrees
Atoms (fractional coordinates):
Ti: 0.0000 0.0000 0.0000
Pt: 0.5000 0.5000 0.5000
N: 0.0000 0.0000 0.5000
F: 0.0000 0.5000 0.0000
F: 0.5000 0.0000 0.0000

=====

No. 3
The following is a GGA-PBE calculation of an optimized crystal structure of TlPtNF2, from Alexandria via LeMat-Bulk.

Properties
total magnetization: 1.54 μB per cell
E: -17.73 eV for the cell shown

Cell lengths 4.3738, 4.3738, 4.4420 Å; angles 90.00, 90.00, 90.00 degrees
Atoms (fractional coordinates):
Tl: 0.0000 0.0000 0.0000
Pt: 0.5000 0.5000 0.5000
N: 0.0000 0.0000 0.5000
F: 0.0000 0.5000 0.0000
F: 0.5000 0.0000 0.0000

=====

No. 4
The following is a GGA-PBE calculation of an optimized crystal structure of TlPtNF2, from Alexandria via LeMat-Bulk.

Properties
total magnetization: 0.00 μB per cell
E: -23.03 eV for the cell shown

Cell lengths 4.7849, 4.7849, 3.6770 Å; angles 90.00, 90.00, 90.00 degrees
Atoms (fractional coordinates):
Tl: 0.0000 0.0000 0.0000
Pt: 0.5000 0.5000 0.5000
N: 0.5000 0.5000 0.0000
F: 0.0000 0.5000 0.5000
F: 0.5000 0.0000 0.5000